A relaxed structure of B2IrRh. Source: Alexandria, functional PBE.

The total energy is -7.352 eV/atom. Its symmetry is R-3m, No. 166. Its formation energy is 40.1 meV/atom. Its calculated volume is 42.45 Å³/cell. The energy above the most stable polymorph in this dataset comes out at 121 meV per atom.

Cell lengths 3.4796, 3.4796, 4.5196 Å; angles 67.36, 67.36, 60.00 degrees
Positions (direct):
Rh 0.0000 0.0000 0.0000
B 0.2461 0.2461 0.2617
B 0.7539 0.7539 0.7383
Ir 0.5000 0.5000 0.5000